Entry 1:
# AgHgIO2, optimized geometry, DFT PBE
# - E_form (uncorrected) (kJ per mole of atoms) = 40
data_AgHgIO2
_cell_length_a 4.151
_cell_length_b 4.151
_cell_length_c 6.754
_cell_angle_alpha 90.00
_cell_angle_beta 90.00
_cell_angle_gamma 90.00
_symmetry_space_group_name_H-M 'P 1'
_symmetry_Int_Tables_number 1
loop_
_symmetry_equiv_pos_as_xyz
'x,y,z'
loop_
_atom_site_label
_atom_site_type_symbol
_atom_site_fract_x
_atom_site_fract_y
_atom_site_fract_z
Ag1 Ag 0.000 0.000 0.000
Hg1 Hg 0.500 0.500 0.500
I1 I 0.000 0.000 0.500
O1 O 0.000 0.500 0.000
O2 O 0.500 0.000 0.000

=====

Entry 2:
# Cr2RuPb, optimized geometry, DFT PBE
# - energy of formation (eV per atom) = 0.4490
data_Cr2RuPb
_cell_length_a 3.006
_cell_length_b 3.006
_cell_length_c 7.476
_cell_angle_alpha 90.00
_cell_angle_beta 90.00
_cell_angle_gamma 90.00
_symmetry_space_group_name_H-M 'P 1'
_symmetry_Int_Tables_number 1
loop_
_symmetry_equiv_pos_as_xyz
'x,y,z'
loop_
_atom_site_label
_atom_site_type_symbol
_atom_site_fract_x
_atom_site_fract_y
_atom_site_fract_z
Cr1 Cr 0.000 0.000 0.000
Cr2 Cr 0.500 0.500 0.200
Ru1 Ru 0.500 0.500 0.810
Pb1 Pb 0.000 0.000 0.522

=====

Entry 3:
# ScNi6Sb, optimized geometry, DFT PBE
# - E_form (uncorrected) (kJ per mole of atoms) = -28
data_ScNi6Sb
_cell_length_a 6.443
_cell_length_b 6.443
_cell_length_c 10.503
_cell_angle_alpha 90.00
_cell_angle_beta 90.00
_cell_angle_gamma 109.42
_symmetry_space_group_name_H-M 'P 1'
_symmetry_Int_Tables_number 1
loop_
_symmetry_equiv_pos_as_xyz
'x,y,z'
loop_
_atom_site_label
_atom_site_type_symbol
_atom_site_fract_x
_atom_site_fract_y
_atom_site_fract_z
Sc1 Sc 0.000 0.000 0.246
Sc2 Sc 0.000 0.000 0.754
Sc3 Sc 0.247 0.753 0.000
Sc4 Sc 0.753 0.247 0.000
Ni1 Ni 0.000 0.000 0.000
Ni2 Ni 0.000 0.000 0.500
Ni3 Ni 0.124 0.376 0.125
Ni4 Ni 0.124 0.376 0.875
Ni5 Ni 0.129 0.376 0.376
Ni6 Ni 0.129 0.376 0.624
Ni7 Ni 0.248 0.752 0.252
Ni8 Ni 0.248 0.752 0.748
Ni9 Ni 0.376 0.124 0.125
Ni10 Ni 0.376 0.124 0.875
Ni11 Ni 0.376 0.129 0.376
Ni12 Ni 0.376 0.129 0.624
Ni13 Ni 0.500 0.500 0.000
Ni14 Ni 0.500 0.500 0.500
Ni15 Ni 0.624 0.871 0.376
Ni16 Ni 0.624 0.871 0.624
Ni17 Ni 0.624 0.876 0.125
Ni18 Ni 0.624 0.876 0.875
Ni19 Ni 0.752 0.248 0.252
Ni20 Ni 0.752 0.248 0.748
Ni21 Ni 0.871 0.624 0.376
Ni22 Ni 0.871 0.624 0.624
Ni23 Ni 0.876 0.624 0.125
Ni24 Ni 0.876 0.624 0.875
Sb1 Sb 0.245 0.755 0.500
Sb2 Sb 0.500 0.500 0.245
Sb3 Sb 0.500 0.500 0.755
Sb4 Sb 0.755 0.245 0.500

=====

Entry 4:
Crystalline Ca2HIrSe at its relaxed geometry, computed with PBE.

The structure in CIF format:
```
data_Ca2HIrSe
_cell_length_a 5.403
_cell_length_b 5.403
_cell_length_c 3.548
_cell_angle_alpha 90.00
_cell_angle_beta 90.00
_cell_angle_gamma 90.00
_symmetry_space_group_name_H-M 'P 1'
_symmetry_Int_Tables_number 1
loop_
_symmetry_equiv_pos_as_xyz
'x,y,z'
loop_
_atom_site_label
_atom_site_type_symbol
_atom_site_fract_x
_atom_site_fract_y
_atom_site_fract_z
Ca1 Ca 0.000 0.500 0.000
Ca2 Ca 0.500 0.000 0.000
H1 H 0.000 0.000 0.500
Ir1 Ir 0.000 0.000 0.000
Se1 Se 0.500 0.500 0.500
```

=====

Number 1: density of states at the Fermi level 1.058 states/eV/atom, V 23.276 A^3/atom, electronic total energy -2.51 eV per atom. Number 2: density of states at the Fermi level 0.646 states/eV/atom, V 16.890 A^3/atom, electronic total energy -7.61 eV per atom. Number 3: density of states at the Fermi level 0.732 states/eV/atom, V 12.848 A^3/atom, electronic total energy -5.93 eV per atom. Number 4: density of states at the Fermi level 0.303 states/eV/atom, V 20.715 A^3/atom, electronic total energy -4.54 eV per atom.